No. 1
Below is a relaxed ZrNp2Tl3S6 crystal, with properties calculated at the PBE-GGA level.

Results
* space group: C2/m (12)
* total moment: 9.0 μB per cell

Cell: 6.8232 6.8232 7.9505 Å, 98.21 98.21 119.92°
Last column: nearest neighbours and their distance in Å.
Atoms (fractional coordinates):
Tl 0.1703 0.8297 0.5000  6 S 3.23-3.30
Tl 0.5000 0.5000 0.5000  6 S 3.23-3.31
Tl 0.8297 0.1703 0.5000  6 S 3.23-3.30
Np 0.6662 0.3338 0.0000  6 S 2.75-2.76
Np 0.3338 0.6662 0.0000  6 S 2.75-2.76
S 0.2545 0.2545 0.8038  1 Zr 2.65, 2 Np 2.76
S 0.7455 0.7455 0.1962  1 Zr 2.65, 2 Np 2.76
S 0.0642 0.3845 0.1930  1 Zr 2.63, 2 Np 2.75
S 0.6155 0.9358 0.8070  1 Zr 2.63, 2 Np 2.75
S 0.3845 0.0642 0.1930  1 Zr 2.63, 2 Np 2.75
S 0.9358 0.6155 0.8070  1 Zr 2.63, 2 Np 2.75
Zr 0.0000 0.0000 0.0000  6 S 2.63-2.65



No. 2
Below is a relaxed ZrNp3Tl3S8 crystal, with properties calculated at the PBE-GGA level.

Results
* space group: R-3m (166)
* total moment: 12.0 μB per cell

Cell: 7.9174 7.9172 8.8702 Å, 116.51 90.00 120.00°
Last column: nearest neighbours and their distance in Å.
Atoms (fractional coordinates):
Zr 0.0000 0.0000 0.5000  6 S 2.63
Tl 0.0000 0.5000 0.0000  6 S 3.24-3.25
Tl 0.0000 0.0000 0.0000  6 S 3.24-3.25
Tl 0.5000 0.5000 0.0000  6 S 3.24-3.25
S 0.7767 0.0319 0.3088  1 Zr 2.63, 2 Np 2.75
S 0.2552 0.0319 0.3088  1 Zr 2.63, 2 Np 2.75
S 0.2233 0.9681 0.6912  1 Zr 2.63, 2 Np 2.75
S 0.7318 0.4636 0.6953  3 Np 2.73
S 0.2682 0.5364 0.3047  3 Np 2.73
S 0.7448 0.9681 0.6912  1 Zr 2.63, 2 Np 2.75
S 0.2232 0.4465 0.6912  1 Zr 2.63, 2 Np 2.75
S 0.7768 0.5535 0.3088  1 Zr 2.63, 2 Np 2.75
Np 0.5000 0.0000 0.5000  6 S 2.73-2.75
Np 0.0000 0.5000 0.5000  6 S 2.73-2.75
Np 0.5000 0.5000 0.5000  6 S 2.73-2.75



No. 3
Below is a relaxed TmNpS2 crystal, with properties calculated at the PBE-GGA level.

Results
* space group: P6_3/mmc (194)
* total moment: 8.3 μB per cell
* polymorph energy (0 for the lowest one): 0.16 eV per formula unit

Cell: 3.8460 3.8460 12.9113 Å, 90.00 90.00 120.00°
Last column: nearest neighbours and their distance in Å.
Atoms (fractional coordinates):
S 0.6667 0.3333 0.6244  3 Np 2.74, 3 Tm 2.75
S 0.3333 0.6667 0.1244  3 Np 2.74, 3 Tm 2.75
S 0.3333 0.6667 0.3756  3 Np 2.74, 3 Tm 2.75
S 0.6667 0.3333 0.8756  3 Np 2.74, 3 Tm 2.75
Tm 0.3333 0.6667 0.7500  6 S 2.75
Tm 0.6667 0.3333 0.2500  6 S 2.75
Np 0.0000 0.0000 0.5000  6 S 2.74
Np 0.0000 0.0000 0.0000  6 S 2.74



No. 4
Below is a relaxed TmNp6S12 crystal, with properties calculated at the PBE-GGA level.

Results
* space group: R-3 (148)
* total moment: 21.0 μB per cell

Cell: 7.8435 7.8435 7.8435 Å, 99.78 99.78 99.78°
Last column: nearest neighbours and their distance in Å.
Atoms (fractional coordinates):
S 0.5785 0.4296 0.1774  4 Np 2.72-2.83
S 0.1774 0.5785 0.4296  4 Np 2.72-2.83
S 0.0511 0.9346 0.6733  1 Tm 2.64, 2 Np 2.70-2.73
S 0.6733 0.0511 0.9346  1 Tm 2.64, 2 Np 2.70-2.73
S 0.0654 0.3267 0.9489  1 Tm 2.64, 2 Np 2.70-2.73
S 0.9346 0.6733 0.0511  1 Tm 2.64, 2 Np 2.70-2.73
S 0.3267 0.9489 0.0654  1 Tm 2.64, 2 Np 2.70-2.73
S 0.8226 0.4215 0.5704  4 Np 2.72-2.83
S 0.4296 0.1774 0.5785  4 Np 2.72-2.83
S 0.9489 0.0654 0.3267  1 Tm 2.64, 2 Np 2.70-2.73
S 0.4215 0.5704 0.8226  4 Np 2.72-2.83
S 0.5704 0.8226 0.4215  4 Np 2.72-2.83
Tm 0.0000 0.0000 0.0000  6 S 2.64
Np 0.6212 0.1347 0.3048  7 S 2.70-2.98
Np 0.3048 0.6212 0.1347  7 S 2.70-2.98
Np 0.8653 0.6952 0.3788  7 S 2.70-2.98
Np 0.1347 0.3048 0.6212  7 S 2.70-2.98
Np 0.6952 0.3788 0.8653  7 S 2.70-2.98
Np 0.3788 0.8653 0.6952  7 S 2.70-2.98



No. 5
Below is a relaxed Tm4NpS5 crystal, with properties calculated at the PBE-GGA level.

Results
* space group: I4/mmm (139)
* total moment: 4.3 μB per cell

Cell: 3.8510 3.8510 13.9153 Å, 97.95 97.95 90.00°
Last column: nearest neighbours and their distance in Å.
Atoms (fractional coordinates):
S 0.8982 0.8982 0.7964  5 Tm 2.69-2.72, 1 Np 2.78
S 0.1018 0.1018 0.2036  5 Tm 2.69-2.72, 1 Np 2.78
S 0.5000 0.5000 0.0000  2 Tm 2.71, 4 Np 2.72
S 0.3003 0.3003 0.6006  6 Tm 2.72-2.74
S 0.6997 0.6997 0.3994  6 Tm 2.72-2.74
Tm 0.2002 0.2002 0.4005  6 S 2.69-2.73
Tm 0.4008 0.4008 0.8017  6 S 2.71-2.74
Tm 0.7998 0.7998 0.5995  6 S 2.69-2.73
Tm 0.5992 0.5992 0.1983  6 S 2.71-2.74
Np 0.0000 0.0000 0.0000  6 S 2.72-2.78



No. 6
Below is a relaxed Tm3NpS6 crystal, with properties calculated at the PBE-GGA level.

Results
* space group: P2_1/m (11)
* total moment: 8.0 μB per cell
* polymorph energy (0 for the lowest one): 0.00 eV per formula unit

Cell: 3.9076 10.9582 11.1481 Å, 108.73 90.00 90.00°
Last column: nearest neighbours and their distance in Å.
Atoms (fractional coordinates):
Tm 0.7500 0.6799 0.5019  7 S 2.65-2.90
Tm 0.7500 0.4359 0.8332  6 S 2.64-2.74
Tm 0.2500 0.8407 0.9162  6 S 2.63-2.74
Tm 0.2500 0.3201 0.4981  7 S 2.65-2.90
Tm 0.7500 0.1593 0.0838  6 S 2.63-2.74
Tm 0.2500 0.5641 0.1668  6 S 2.64-2.74
S 0.2500 0.8845 0.5384  3 Np 2.82-2.88, 2 Tm 2.90
S 0.2500 0.6039 0.9377  4 Tm 2.68-2.73
S 0.2500 0.0816 0.9023  3 Tm 2.69-2.74, 2 Np 2.99
S 0.7500 0.9184 0.0977  3 Tm 2.69-2.74, 2 Np 2.99
S 0.2500 0.1943 0.2496  3 Tm 2.63-2.67, 1 Np 2.94
S 0.2500 0.2590 0.7257  3 Tm 2.74-2.82, 2 Np 2.96
S 0.2500 0.5220 0.3871  4 Tm 2.64-2.86
S 0.7500 0.4780 0.6129  4 Tm 2.64-2.86
S 0.7500 0.7410 0.2743  3 Tm 2.74-2.82, 2 Np 2.96
S 0.7500 0.1155 0.4616  3 Np 2.82-2.88, 2 Tm 2.90
S 0.7500 0.3961 0.0623  4 Tm 2.68-2.73
S 0.7500 0.8057 0.7504  3 Tm 2.63-2.67, 1 Np 2.94
Np 0.2500 0.9518 0.3088  8 S 2.82-2.99
Np 0.7500 0.0482 0.6912  8 S 2.82-2.99



No. 7
Below is a relaxed TmNpS4 crystal, with properties calculated at the PBE-GGA level.

Results
* space group: Cmmm (65)
* total moment: 2.0 μB per cell

Cell: 4.0619 6.1932 6.1932 Å, 90.92 90.00 90.00°
Last column: nearest neighbours and their distance in Å.
Atoms (fractional coordinates):
S 0.0000 0.2021 0.2021  1 Np 2.59, 2 Tm 2.68
S 0.0000 0.7979 0.7979  1 Np 2.59, 2 Tm 2.68
S 0.5000 0.3101 0.6899  2 Np 2.63, 1 Tm 2.74
S 0.5000 0.6899 0.3101  2 Np 2.63, 1 Tm 2.74
Np 0.0000 0.5000 0.5000  6 S 2.59-2.63
Tm 0.5000 0.0000 0.0000  6 S 2.68-2.74



No. 8
Below is a relaxed TmNp2S3 crystal, with properties calculated at the PBE-GGA level.

Results
* space group: Pnma (62)
* total moment: 0.7 μB per cell

Cell: 5.4724 7.7475 11.6841 Å, 90.00 90.00 90.00°
Last column: nearest neighbours and their distance in Å.
Atoms (fractional coordinates):
Np 0.2501 0.8743 0.7499  6 S 2.74-2.78
Np 0.2500 0.8772 0.4164  6 S 2.73-2.77
Np 0.2501 0.3743 0.7501  6 S 2.74-2.78
Np 0.2500 0.3772 0.0836  6 S 2.73-2.77
Np 0.7500 0.1228 0.5836  6 S 2.73-2.77
Np 0.7500 0.6228 0.9164  6 S 2.73-2.77
Np 0.7499 0.1257 0.2501  6 S 2.74-2.78
Np 0.7499 0.6257 0.2499  6 S 2.74-2.78
S 0.7501 0.8752 0.7516  4 Np 2.74, 2 Tm 2.75-2.76
S 0.7500 0.8792 0.0813  3 Tm 2.71-2.74, 3 Np 2.75-2.78
S 0.7500 0.3792 0.4187  3 Tm 2.71-2.74, 3 Np 2.75-2.78
S 0.2500 0.1208 0.9187  3 Tm 2.71-2.74, 3 Np 2.75-2.78
S 0.7501 0.3752 0.7484  4 Np 2.74, 2 Tm 2.75-2.76
S 0.2500 0.6208 0.5813  3 Tm 2.71-2.74, 3 Np 2.75-2.78
S 0.2499 0.6248 0.2516  4 Np 2.74, 2 Tm 2.75-2.76
S 0.2501 0.1270 0.5811  1 Tm 2.70, 5 Np 2.73-2.78
S 0.7499 0.8730 0.4189  1 Tm 2.70, 5 Np 2.73-2.78
S 0.7499 0.3730 0.0811  1 Tm 2.70, 5 Np 2.73-2.78
S 0.2499 0.1248 0.2484  4 Np 2.74, 2 Tm 2.75-2.76
S 0.2501 0.6270 0.9189  1 Tm 2.70, 5 Np 2.73-2.78
Tm 0.2500 0.8729 0.0826  6 S 2.70-2.76
Tm 0.2500 0.3729 0.4174  6 S 2.70-2.76
Tm 0.7500 0.1271 0.9174  6 S 2.70-2.76
Tm 0.7500 0.6271 0.5826  6 S 2.70-2.76



No. 9
Below is a relaxed TmNp4S5 crystal, with properties calculated at the PBE-GGA level.

Results
* space group: I4/mmm (139)
* total moment: 0.2 μB per cell

Cell: 3.8837 3.8837 14.0640 Å, 97.94 97.94 90.00°
Last column: nearest neighbours and their distance in Å.
Atoms (fractional coordinates):
S 0.2986 0.2986 0.5972  6 Np 2.74-2.80
S 0.5000 0.5000 0.0000  4 Tm 2.75, 2 Np 2.76
S 0.9021 0.9021 0.8043  1 Tm 2.70, 5 Np 2.75-2.80
S 0.7014 0.7014 0.4028  6 Np 2.74-2.80
S 0.0979 0.0979 0.1957  1 Tm 2.70, 5 Np 2.75-2.80
Np 0.6000 0.6000 0.2000  6 S 2.75-2.80
Np 0.1993 0.1993 0.3987  6 S 2.74-2.80
Np 0.4000 0.4000 0.8000  6 S 2.75-2.80
Np 0.8007 0.8007 0.6013  6 S 2.74-2.80
Tm 0.0000 0.0000 0.0000  6 S 2.70-2.75



No. 10
Below is a relaxed TmNp6S8 crystal, with properties calculated at the PBE-GGA level.

Results
* space group: Fm-3m (225)
* total moment: 25.4 μB per cell

Cell: 7.8087 7.8087 7.8087 Å, 60.00 60.00 60.00°
Last column: nearest neighbours and their distance in Å.
Atoms (fractional coordinates):
Np 0.0000 0.5000 0.5000  6 S 2.76
Np 0.5000 0.0000 0.5000  6 S 2.76
Np 0.0000 0.5000 0.0000  6 S 2.76
Np 0.5000 0.5000 0.0000  6 S 2.76
Np 0.0000 0.0000 0.5000  6 S 2.76
Np 0.5000 0.0000 0.0000  6 S 2.76
Tm 0.0000 0.0000 0.0000  6 S 2.73
S 0.7500 0.7500 0.7500  6 Np 2.76
S 0.2473 0.7527 0.7527  1 Tm 2.73, 4 Np 2.76
S 0.7527 0.2473 0.7527  1 Tm 2.73, 4 Np 2.76
S 0.2500 0.2500 0.2500  6 Np 2.76
S 0.7527 0.2473 0.2473  1 Tm 2.73, 4 Np 2.76
S 0.7527 0.7527 0.2473  1 Tm 2.73, 4 Np 2.76
S 0.2473 0.2473 0.7527  1 Tm 2.73, 4 Np 2.76
S 0.2473 0.7527 0.2473  1 Tm 2.73, 4 Np 2.76



no.,raw total energy (eV/cell)
1,-78.94
2,-104.54
3,-64.36
4,-158.99
5,-69.73
6,-140.18
7,-42.20
8,-208.23
9,-91.71
10,-137.31